Entry 1:
TlNi2Rh2 | PBE | relaxed

abc: 3.4890 3.4890 12.8851
angles: 90.00 90.00 90.00
With the nearest neighbours (Å) after each atom.
Fractional coordinates of all 10 atoms:
Tl 0.0000 0.0000 0.0000  8 Rh 2.84
Tl 0.5000 0.5000 0.5000  8 Rh 2.84
Ni 0.0000 0.5000 0.2500  4 Ni 2.47, 4 Rh 2.52
Ni 0.0000 0.5000 0.7500  4 Ni 2.47, 4 Rh 2.52
Ni 0.5000 0.0000 0.2500  4 Ni 2.47, 4 Rh 2.52
Ni 0.5000 0.0000 0.7500  4 Ni 2.47, 4 Rh 2.52
Rh 0.0000 0.0000 0.3914  4 Ni 2.52, 1 Rh 2.80
Rh 0.0000 0.0000 0.6086  4 Ni 2.52, 1 Rh 2.80
Rh 0.5000 0.5000 0.1086  4 Ni 2.52, 1 Rh 2.80
Rh 0.5000 0.5000 0.8914  4 Ni 2.52, 1 Rh 2.80

Distance to the lowest polymorph of the same formula: 37 meV/atom
Mass density: 11.2 g/cm3
Raw total energy: -54.380 eV for the cell shown
Symmetry: I4/mmm, No. 139

---

Entry 2:
Cu2IrPt | PBE | relaxed

abc: 2.7141 2.7141 25.9691
angles: 90.00 90.00 120.00
With the nearest neighbours (Å) after each atom.
Fractional coordinates of all 12 atoms:
Cu 0.0000 0.0000 0.0000  3 Ir 2.65, 3 Pt 2.70, 6 Cu 2.71
Cu 0.0000 0.0000 0.1647  3 Ir 2.65, 3 Pt 2.69, 6 Cu 2.71
Cu 0.3333 0.6667 0.6667  3 Ir 2.65, 3 Pt 2.70, 6 Cu 2.71
Cu 0.3333 0.6667 0.8313  3 Ir 2.65, 3 Pt 2.69, 6 Cu 2.71
Cu 0.6667 0.3333 0.3333  3 Ir 2.65, 3 Pt 2.70, 6 Cu 2.71
Cu 0.6667 0.3333 0.4980  3 Ir 2.65, 3 Pt 2.69, 6 Cu 2.71
Ir 0.0000 0.0000 0.7492  6 Cu 2.65, 6 Ir 2.71
Ir 0.3333 0.6667 0.4159  6 Cu 2.65, 6 Ir 2.71
Ir 0.6667 0.3333 0.0825  6 Cu 2.65, 6 Ir 2.71
Pt 0.0000 0.0000 0.5821  6 Cu 2.69-2.70, 6 Pt 2.71
Pt 0.3333 0.6667 0.2487  6 Cu 2.69-2.70, 6 Pt 2.71
Pt 0.6667 0.3333 0.9154  6 Cu 2.69-2.70, 6 Pt 2.71

Distance to the lowest polymorph of the same formula: 37 meV/atom
Mass density: 15.5 g/cm3
Raw total energy: -69.342 eV for the cell shown
Symmetry: R3m, No. 160